Entry 1:
This record from Alexandria via LeMat-Bulk describes a geometry-optimized Pr8BiSe6 structure. The functional is PBE.

Unit cell a=10.982 b=10.982 c=4.304 alpha=90.00 beta=90.00 gamma=120.00
Sites, in units of the cell vectors:
Pr (0.036, 0.706, 0.255)
Pr (0.294, 0.330, 0.255)
Pr (0.330, 0.036, 0.745)
Pr (0.333, 0.667, 0.748)
Pr (0.667, 0.333, 0.252)
Pr (0.670, 0.964, 0.255)
Pr (0.706, 0.670, 0.745)
Pr (0.964, 0.294, 0.745)
Bi (0.000, 0.000, 0.500)
Se (0.133, 0.483, 0.248)
Se (0.350, 0.867, 0.248)
Se (0.483, 0.350, 0.752)
Se (0.517, 0.650, 0.248)
Se (0.650, 0.133, 0.752)
Se (0.867, 0.517, 0.752)

- uncorrected formation energy (eV/atom) = -1.426
- magnetic moment (μB/cell) = 0.000

=====

Entry 2:
This record from Alexandria via LeMat-Bulk describes a geometry-optimized PrScHgPd structure. The functional is PBE.

Unit cell a=5.103 b=5.103 c=5.103 alpha=60.00 beta=60.00 gamma=60.00
Sites, in units of the cell vectors:
Pr (0.000, 0.000, 0.000)
Sc (0.500, 0.500, 0.500)
Hg (0.250, 0.250, 0.250)
Pd (0.750, 0.750, 0.750)

- ΔH_f (0 K) (eV per atom) = -0.52
- magnetic moment (μB/cell) = 0.000

=====

Entry 3:
This record from Alexandria via LeMat-Bulk describes a geometry-optimized AlAu3 structure. The functional is PBE.

Unit cell a=10.908 b=10.908 c=4.804 alpha=90.00 beta=90.00 gamma=90.00
Sites, in units of the cell vectors:
Al (0.025, 0.200, 0.038)
Al (0.200, 0.475, 0.462)
Al (0.300, 0.025, 0.462)
Al (0.475, 0.300, 0.038)
Al (0.525, 0.700, 0.962)
Al (0.700, 0.975, 0.538)
Al (0.800, 0.525, 0.538)
Al (0.975, 0.800, 0.962)
Au (0.017, 0.574, 0.764)
Au (0.074, 0.983, 0.264)
Au (0.123, 0.214, 0.528)
Au (0.128, 0.709, 0.323)
Au (0.209, 0.872, 0.823)
Au (0.214, 0.377, 0.972)
Au (0.286, 0.123, 0.972)
Au (0.291, 0.628, 0.823)
Au (0.372, 0.791, 0.323)
Au (0.377, 0.286, 0.528)
Au (0.426, 0.517, 0.264)
Au (0.483, 0.926, 0.764)
Au (0.517, 0.074, 0.236)
Au (0.574, 0.483, 0.736)
Au (0.623, 0.714, 0.472)
Au (0.628, 0.209, 0.677)
Au (0.709, 0.372, 0.177)
Au (0.714, 0.877, 0.028)
Au (0.786, 0.623, 0.028)
Au (0.791, 0.128, 0.177)
Au (0.872, 0.291, 0.677)
Au (0.877, 0.786, 0.472)
Au (0.926, 0.017, 0.736)
Au (0.983, 0.426, 0.236)

- ΔH_f (0 K) (eV per atom) = -0.22
- magnetic moment (μB/cell) = 0.000

=====

Entry 4:
This record from Alexandria via LeMat-Bulk describes a geometry-optimized CrCd2Se structure. The functional is PBE.

Unit cell a=6.415 b=6.415 c=6.415 alpha=150.69 beta=136.90 gamma=52.98
Sites, in units of the cell vectors:
Cr (0.000, 0.000, 0.000)
Cd (0.461, 0.461, 0.000)
Cd (0.784, 0.284, 0.500)
Se (0.160, 0.660, 0.500)

- uncorrected formation energy (eV/atom) = 0.053
- magnetic moment (μB/cell) = 3.349

=====

Entry 5:
This record from Alexandria via LeMat-Bulk describes a geometry-optimized CuAg2HgCl8 structure. The functional is PBE.

Unit cell a=7.467 b=7.467 c=7.467 alpha=116.29 beta=116.29 gamma=96.55
Sites, in units of the cell vectors:
Cu (0.000, 0.000, 0.000)
Ag (0.250, 0.750, 0.500)
Ag (0.500, 0.500, 0.000)
Hg (0.750, 0.250, 0.500)
Cl (0.050, 0.333, 0.283)
Cl (0.050, 0.768, 0.717)
Cl (0.110, 0.302, 0.808)
Cl (0.232, 0.950, 0.283)
Cl (0.493, 0.302, 0.192)
Cl (0.667, 0.950, 0.717)
Cl (0.698, 0.507, 0.808)
Cl (0.698, 0.890, 0.192)

- uncorrected formation energy (eV/atom) = -0.287
- magnetic moment (μB/cell) = 0.000

=====

Entry 6:
This record from Alexandria via LeMat-Bulk describes a geometry-optimized NaFeSb2 structure. The functional is PBE.

Unit cell a=4.779 b=4.779 c=4.779 alpha=60.00 beta=60.00 gamma=60.00
Sites, in units of the cell vectors:
Na (0.000, 0.000, 0.000)
Fe (0.500, 0.500, 0.500)
Sb (0.250, 0.250, 0.250)
Sb (0.750, 0.750, 0.750)

- uncorrected formation energy (eV/atom) = 0.283
- magnetic moment (μB/cell) = 0.000

=====

Entry 7:
This record from Alexandria via LeMat-Bulk describes a geometry-optimized KZn2Pd2 structure. The functional is PBE.

Unit cell a=7.949 b=7.949 c=2.849 alpha=90.00 beta=90.00 gamma=90.00
Sites, in units of the cell vectors:
K (0.000, 0.000, 0.000)
K (0.500, 0.500, 0.000)
Zn (0.127, 0.373, 0.000)
Zn (0.373, 0.873, 0.000)
Zn (0.627, 0.127, 0.000)
Zn (0.873, 0.627, 0.000)
Pd (0.163, 0.663, 0.500)
Pd (0.337, 0.163, 0.500)
Pd (0.663, 0.837, 0.500)
Pd (0.837, 0.337, 0.500)

- ΔH_f (0 K) (eV per atom) = -0.27
- magnetic moment (μB/cell) = 0.000

=====

Entry 8:
This record from Alexandria via LeMat-Bulk describes a geometry-optimized Y8HoIn2 structure. The functional is PBE.

Unit cell a=8.769 b=8.769 c=5.667 alpha=102.29 beta=102.29 gamma=118.94
Sites, in units of the cell vectors:
Y (0.093, 0.324, 0.620)
Y (0.217, 0.783, 0.000)
Y (0.324, 0.093, 0.620)
Y (0.402, 0.402, 0.203)
Y (0.598, 0.598, 0.797)
Y (0.676, 0.907, 0.380)
Y (0.783, 0.217, 0.000)
Y (0.907, 0.676, 0.380)
Ho (0.000, 0.000, 0.000)
In (0.306, 0.694, 0.500)
In (0.694, 0.306, 0.500)

- ΔH_f (0 K) (eV per atom) = -0.06
- magnetic moment (μB/cell) = 0.000

=====

Entry 9:
This record from Alexandria via LeMat-Bulk describes a geometry-optimized Fe2WSe structure. The functional is PBE.

Unit cell a=3.010 b=4.252 c=4.277 alpha=90.00 beta=90.00 gamma=90.00
Sites, in units of the cell vectors:
Fe (0.000, 0.000, 0.000)
Fe (0.500, 0.000, 0.500)
W (0.000, 0.500, 0.500)
Se (0.500, 0.500, 0.000)

- uncorrected formation energy (eV/atom) = 0.419
- magnetic moment (μB/cell) = 3.412

=====

Entry 10:
This record from Alexandria via LeMat-Bulk describes a geometry-optimized LaNiPS2 structure. The functional is PBE.

Unit cell a=4.677 b=4.677 c=4.312 alpha=90.00 beta=90.00 gamma=90.00
Sites, in units of the cell vectors:
La (0.000, 0.000, 0.000)
Ni (0.500, 0.500, 0.500)
P (0.500, 0.500, 0.000)
S (0.000, 0.500, 0.500)
S (0.500, 0.000, 0.500)

- uncorrected formation energy (eV/atom) = -0.812
- magnetic moment (μB/cell) = 0.000

=====

Question: What is the magnetic moment in the seventh record?
Answer: 0.000 μB/cell

=====

Please write out number 1 again, unchanged.
This record from Alexandria via LeMat-Bulk describes a geometry-optimized Pr8BiSe6 structure. The functional is PBE.

Unit cell a=10.982 b=10.982 c=4.304 alpha=90.00 beta=90.00 gamma=120.00
Sites, in units of the cell vectors:
Pr (0.036, 0.706, 0.255)
Pr (0.294, 0.330, 0.255)
Pr (0.330, 0.036, 0.745)
Pr (0.333, 0.667, 0.748)
Pr (0.667, 0.333, 0.252)
Pr (0.670, 0.964, 0.255)
Pr (0.706, 0.670, 0.745)
Pr (0.964, 0.294, 0.745)
Bi (0.000, 0.000, 0.500)
Se (0.133, 0.483, 0.248)
Se (0.350, 0.867, 0.248)
Se (0.483, 0.350, 0.752)
Se (0.517, 0.650, 0.248)
Se (0.650, 0.133, 0.752)
Se (0.867, 0.517, 0.752)

- uncorrected formation energy (eV/atom) = -1.426
- magnetic moment (μB/cell) = 0.000